Record 1
Sm11In9Hg4 PBE optimized geometry; DFT total energy = -3.708 eV per atom; crystal system = orthorhombic; calculated density = 8.73 Mg/m³; calculated formation energy = -0.47 eV per atom
1.0
7.5870 -11.4497 0.0000
7.5870 11.4497 0.0000
0.0000 0.0000 3.8207
Sm In Hg
11 9 4
Cartesian
0.0000 0.0000 0.0000
3.5596 4.0248 0.0000
7.5870 7.7502 0.0000
4.3510 0.0000 0.0000
7.5870 3.1872 0.0000
3.5596 -4.0248 0.0000
11.6144 4.0248 0.0000
7.5870 -3.1872 0.0000
10.8231 0.0000 0.0000
7.5870 -7.7502 0.0000
11.6144 -4.0248 0.0000
2.0671 1.7272 1.9104
5.9738 5.4807 1.9104
2.0671 -1.7272 1.9104
9.2002 5.4807 1.9104
7.5870 0.0000 1.9104
5.9738 -5.4807 1.9104
13.1070 1.7272 1.9104
9.2002 -5.4807 1.9104
13.1070 -1.7272 1.9104
5.3024 2.2652 1.9104
5.3024 -2.2652 1.9104
9.8716 2.2652 1.9104
9.8716 -2.2652 1.9104



Record 2
Sm3InHg5 PBE optimized geometry; DFT total energy = -2.498 eV per atom; crystal system = hexagonal; calculated density = 11.25 Mg/m³; calculated formation energy = -0.45 eV per atom
1.0
9.0903 0.0000 0.0000
-4.5452 7.8725 0.0000
0.0000 0.0000 6.4723
Sm In Hg
6 2 10
Cartesian
-1.5370 2.6621 1.6181
-3.0082 5.2103 4.8542
3.0740 0.0000 1.6181
1.5370 2.6621 4.8542
6.0163 0.0000 4.8542
3.0082 5.2103 1.6181
0.0000 0.0000 0.0000
0.0000 0.0000 3.2362
-1.4971 2.5931 4.8542
-3.0480 5.2793 1.6181
2.9943 0.0000 4.8542
1.4971 2.5931 1.6181
0.0000 5.2483 0.0000
0.0000 5.2483 3.2362
4.5452 2.6241 0.0000
4.5452 2.6241 3.2362
6.0960 0.0000 1.6181
3.0480 5.2793 4.8542



Record 3
SmInHg2 PBE optimized geometry; DFT total energy = -2.314 eV per atom; crystal system = tetragonal; calculated density = 10.72 Mg/m³; calculated formation energy = -0.30 eV per atom
1.0
3.7472 0.0000 0.0000
0.0000 3.7472 0.0000
0.0000 0.0000 7.3508
Sm In Hg
1 1 2
Cartesian
0.0000 0.0000 0.0000
0.0000 0.0000 3.6754
1.8736 1.8736 1.8906
1.8736 1.8736 5.4602



Record 4
Sm12In2Hg5 PBE optimized geometry; DFT total energy = -3.602 eV per atom; crystal system = monoclinic; calculated density = 8.90 Mg/m³; calculated formation energy = -0.25 eV per atom
1.0
6.4969 -5.2768 0.0000
6.4969 5.2768 0.0000
-1.8211 0.0000 8.2643
Sm In Hg
12 2 5
Cartesian
3.9676 3.4807 1.5973
1.0259 0.0000 1.2681
4.0488 2.3184 4.9958
7.2051 3.4807 6.6671
7.1239 2.3184 3.2685
4.5977 0.0000 2.0811
6.5750 0.0000 6.1832
4.0488 -2.3184 4.9958
3.9676 -3.4807 1.5973
7.1239 -2.3184 3.2685
10.1468 0.0000 6.9962
7.2051 -3.4807 6.6671
6.4969 2.3625 0.0000
6.4969 -2.3625 0.0000
-0.9106 0.0000 4.1322
2.1031 0.0000 4.1386
3.2298 0.0000 7.1781
7.9429 0.0000 1.0862
9.0696 0.0000 4.1257



Record 5
Sm3InHg3 PBE optimized geometry; DFT total energy = -2.895 eV per atom; crystal system = monoclinic; calculated density = 9.79 Mg/m³; calculated formation energy = -0.35 eV per atom
1.0
5.0942 -5.1413 0.0000
5.0942 5.1413 0.0000
-0.0623 0.0000 7.5630
Sm In Hg
6 2 6
Cartesian
2.4810 2.0122 5.6782
0.7163 0.0000 1.8720
2.4810 -2.0122 5.6782
7.6451 2.0122 1.8848
9.4098 0.0000 5.6910
7.6451 -2.0122 1.8848
3.6193 0.0000 0.4736
6.5068 0.0000 7.0894
5.0942 2.6634 0.0000
5.0630 2.6592 3.7815
3.4625 0.0000 3.4245
6.6635 0.0000 4.1385
5.0942 -2.6634 0.0000
5.0630 -2.6592 3.7815



Record 6
Sm2In2Hg PBE optimized geometry; DFT total energy = -3.494 eV per atom; crystal system = monoclinic; calculated density = 8.78 Mg/m³; calculated formation energy = -0.45 eV per atom
1.0
5.7330 -2.3993 0.0000
5.7330 2.3993 0.0000
-4.8871 0.0000 10.0447
Sm In Hg
4 4 2
Cartesian
-1.4548 0.0000 3.3050
1.5495 0.0000 0.9818
5.0293 0.0000 9.0629
8.0337 0.0000 6.7396
1.9785 0.0000 4.3961
4.7665 0.0000 1.1385
1.8123 0.0000 8.9062
4.6004 0.0000 5.6486
-0.0798 0.0000 6.7370
6.6587 0.0000 3.3077



Record 7
SrSmInHg PBE optimized geometry; DFT total energy = -2.809 eV per atom; crystal system = cubic; calculated density = 7.60 Mg/m³; calculated formation energy = -0.45 eV per atom
1.0
7.8507 0.0000 0.0000
0.0000 7.8507 0.0000
0.0000 0.0000 7.8507
Sr Sm In Hg
4 4 4 4
Cartesian
0.0000 0.0000 0.0000
0.0000 3.9253 3.9253
3.9253 0.0000 3.9253
3.9253 3.9253 0.0000
0.0000 0.0000 3.9253
0.0000 3.9253 0.0000
3.9253 0.0000 0.0000
3.9253 3.9253 3.9253
1.9627 1.9627 1.9627
1.9627 5.8880 5.8880
5.8880 1.9627 5.8880
5.8880 5.8880 1.9627
1.9627 1.9627 5.8880
1.9627 5.8880 1.9627
5.8880 1.9627 1.9627
5.8880 5.8880 5.8880



Record 8
SrSmInHg PBE optimized geometry; DFT total energy = -2.844 eV per atom; crystal system = tetragonal; calculated density = 7.61 Mg/m³; calculated formation energy = -0.48 eV per atom
1.0
3.8672 0.0000 0.0000
0.0000 3.8672 0.0000
0.0000 0.0000 8.0698
Sr Sm In Hg
1 1 1 1
Cartesian
0.0000 0.0000 0.0000
0.0000 0.0000 4.1262
1.9336 1.9336 2.2352
1.9336 1.9336 5.9049